BaSr2Cd | PBE-GGA | optimized geometry

* ΔE_f: -0.168 eV per atom

Lattice parameters (Å, degrees): 4.2110 4.2110 10.4936 90.00 90.00 90.00
Space group P4mm (No. 99)
Unique sites:
Ba (0.0000, 0.0000, 0.0000)
Sr (0.0000, 0.0000, 0.3817)
Sr (0.5000, 0.5000, 0.6787)
Cd (0.5000, 0.5000, 0.2042)

BaSr5Cd3 | PBE-GGA | optimized geometry

* ΔE_f: -0.160 eV per atom

Lattice parameters (Å, degrees): 10.4653 10.4653 7.6348 90.00 90.00 120.00
Space group P6_3/mcm (No. 193)
Unique sites:
Ba (0.0000, 0.0000, 0.0000)
Sr (0.0000, 0.3363, 0.2500)
Sr (0.3333, 0.6667, 0.0000)
Cd (0.0000, 0.3340, 0.7500)